Y3Ho7Sc2 after structural relaxation, computed with PBE.

## Properties
energy of formation: 0.10 eV/atom
relative energy among the computed polymorphs: 0 meV/atom
total DFT energy (no corrections): -5.2401 eV per atom
size of the total moment: 0.00 μB/cell
space group: P2/m
D(E_F): 17.5 states/eV/cell

a b c (Å): 3.520 5.715 18.782
angles (deg): 104.20 90.00 90.00
Positions (direct):
Y  0.500  0.500  0.000
Y  0.000  0.143  0.365
Y  0.000  0.857  0.635
Ho  0.500  0.719  0.461
Ho  0.500  0.281  0.539
Ho  0.000  0.458  0.148
Ho  0.000  0.000  0.000
Ho  0.000  0.542  0.852
Ho  0.500  0.009  0.818
Ho  0.500  0.991  0.182
Sc  0.500  0.584  0.295
Sc  0.500  0.416  0.705